DFT (PBE-GGA) results for a geometry-optimized CrIrOs2 structure.

a b c (Å): 4.141 2.715 5.137
angles (deg): 74.58 90.00 90.00
Fractional positions:
Ir 0.500 0.705 0.714
Os 0.500 0.440 0.244
Os 0.000 0.047 0.033
Cr 0.000 0.308 0.509

Summary:
Uncorrected energy = -10.19 eV per atom
Formation energy = 0.049 eV per atom
Volume = 13.92 Å³ per atom
Space-group type = Pm
Offset from the most stable computed form = 71 meV per atom